Density functional theory data (PBE) for a relaxed SiBAuC crystal.

abc: 3.066 3.066 18.507
angles: 90.00 90.00 120.00
Atoms (fractional coordinates):
B: 0.667 0.333 0.517
B: 0.333 0.667 0.851
C: 0.667 0.333 0.436
B: 0.000 0.000 0.184
Au: 0.333 0.667 0.259
C: 0.333 0.667 0.769
Au: 0.000 0.000 0.593
Si: 0.000 0.000 0.732
Si: 0.333 0.667 0.399
C: 0.000 0.000 0.102
Si: 0.667 0.333 0.065
Au: 0.667 0.333 0.926

Values from the calculation:
**D(E_F)**: 0.334 states/eV/atom
**Calculated volume**: 50 Å³/f.u.
**M_tot**: 0.000 Bohr magnetons per cell
**Mass density**: 8.2 g/cm³
**VASP energy**: -70.691 eV/cell

---

Density functional theory data (PBE) for a relaxed MgZnMo2 crystal.

abc: 5.081 5.081 5.081
angles: 141.19 126.36 68.16
Atoms (fractional coordinates):
Zn: 0.501 0.501 0.000
Mo: 0.764 0.264 0.500
Mo: 0.982 0.982 0.000
Mg: 0.252 0.752 0.500

Values from the calculation:
**D(E_F)**: 0.385 states/eV/atom
**Calculated volume**: 65 Å³/f.u.
**M_tot**: 0.000 Bohr magnetons per cell
**Mass density**: 7.2 g/cm³
**VASP energy**: -23.634 eV/cell